# 1
# Rb2SrGeRh, relaxed, DFT PBEsol
# crystal system: tetragonal
data_Rb2SrGeRh
_cell_length_a 6.8008
_cell_length_b 6.8008
_cell_length_c 5.4031
_cell_angle_alpha 90.00
_cell_angle_beta 90.00
_cell_angle_gamma 90.00
_space_group_name_H-M_alt 'P 4/m m m'
_space_group_IT_number 123
_space_group_name_Hall '-P 4 2'
loop_
_atom_site_label
_atom_site_type_symbol
_atom_site_fract_x
_atom_site_fract_y
_atom_site_fract_z
Rb1 Rb 0.0000 0.5000 0.0000
Sr1 Sr 0.0000 0.0000 0.0000
Ge1 Ge 0.0000 0.0000 0.5000
Rh1 Rh 0.5000 0.5000 0.5000



# 2
# Rb3GeRu, relaxed, DFT PBEsol
# crystal system: cubic
data_Rb3GeRu
_cell_length_a 5.7696
_cell_length_b 5.7696
_cell_length_c 5.7696
_cell_angle_alpha 90.00
_cell_angle_beta 90.00
_cell_angle_gamma 90.00
_space_group_name_H-M_alt 'P m -3 m'
_space_group_IT_number 221
_space_group_name_Hall '-P 4 2 3'
loop_
_atom_site_label
_atom_site_type_symbol
_atom_site_fract_x
_atom_site_fract_y
_atom_site_fract_z
Rb1 Rb 0.0000 0.0000 0.5000
Ge1 Ge 0.5000 0.5000 0.5000
Ru1 Ru 0.0000 0.0000 0.0000



# 3
# RbGeS3, relaxed, DFT PBEsol
# ΔE_f (raw): -0.24 eV/atom
# crystal system: cubic
data_RbGeS3
_cell_length_a 4.8273
_cell_length_b 4.8273
_cell_length_c 4.8273
_cell_angle_alpha 90.00
_cell_angle_beta 90.00
_cell_angle_gamma 90.00
_space_group_name_H-M_alt 'P m -3 m'
_space_group_IT_number 221
_space_group_name_Hall '-P 4 2 3'
loop_
_atom_site_label
_atom_site_type_symbol
_atom_site_fract_x
_atom_site_fract_y
_atom_site_fract_z
Rb1 Rb 0.0000 0.0000 0.0000
Ge1 Ge 0.5000 0.5000 0.5000
S1 S 0.0000 0.5000 0.5000



# 4
# Rb3GeSb, relaxed, DFT PBEsol
# ΔE_f (raw): 0.38 eV/atom
# crystal system: cubic
data_Rb3GeSb
_cell_length_a 6.8496
_cell_length_b 6.8496
_cell_length_c 6.8496
_cell_angle_alpha 90.00
_cell_angle_beta 90.00
_cell_angle_gamma 90.00
_space_group_name_H-M_alt 'P m -3 m'
_space_group_IT_number 221
_space_group_name_Hall '-P 4 2 3'
loop_
_atom_site_label
_atom_site_type_symbol
_atom_site_fract_x
_atom_site_fract_y
_atom_site_fract_z
Rb1 Rb 0.0000 0.0000 0.5000
Ge1 Ge 0.5000 0.5000 0.5000
Sb1 Sb 0.0000 0.0000 0.0000



# 5
# RbGe3Sb, relaxed, DFT PBEsol
# ΔE_f (raw): 0.61 eV/atom
# crystal system: cubic
data_RbGe3Sb
_cell_length_a 5.4089
_cell_length_b 5.4089
_cell_length_c 5.4089
_cell_angle_alpha 90.00
_cell_angle_beta 90.00
_cell_angle_gamma 90.00
_space_group_name_H-M_alt 'P m -3 m'
_space_group_IT_number 221
_space_group_name_Hall '-P 4 2 3'
loop_
_atom_site_label
_atom_site_type_symbol
_atom_site_fract_x
_atom_site_fract_y
_atom_site_fract_z
Rb1 Rb 0.0000 0.0000 0.0000
Ge1 Ge 0.0000 0.5000 0.5000
Sb1 Sb 0.5000 0.5000 0.5000



# 6
# RbSmGeSe4, relaxed, DFT PBEsol
# ΔE_f (raw): -1.13 eV/atom
# crystal system: orthorhombic
data_RbSmGeSe4
_cell_length_a 6.7219
_cell_length_b 6.9601
_cell_length_c 17.6893
_cell_angle_alpha 90.00
_cell_angle_beta 90.00
_cell_angle_gamma 90.00
_space_group_name_H-M_alt 'P 21 21 21'
_space_group_IT_number 19
loop_
_space_group_symop_operation_xyz
'x,y,z'
'-x+1/2,-y,z+1/2'
'x+1/2,-y+1/2,-z'
'-x,y+1/2,-z+1/2'
loop_
_atom_site_label
_atom_site_type_symbol
_atom_site_fract_x
_atom_site_fract_y
_atom_site_fract_z
Rb1 Rb 0.0213 0.0049 0.4691
Sm1 Sm 0.2066 0.0190 0.7256
Ge1 Ge 0.2104 0.5146 0.3364
Se1 Se 0.0521 0.2405 0.8594
Se2 Se 0.0639 0.0143 0.0831
Se3 Se 0.0942 0.7646 0.8526
Se4 Se 0.1004 0.5837 0.2128



# 7
# RbSi2Ge2, relaxed, DFT PBEsol
# ΔE_f (raw): 0.04 eV/atom
# crystal system: tetragonal
data_RbSi2Ge2
_cell_length_a 4.0681
_cell_length_b 4.0681
_cell_length_c 14.8536
_cell_angle_alpha 90.00
_cell_angle_beta 90.00
_cell_angle_gamma 90.00
_space_group_name_H-M_alt 'I 4/m m m'
_space_group_IT_number 139
_space_group_name_Hall '-I 4 2'
loop_
_atom_site_label
_atom_site_type_symbol
_atom_site_fract_x
_atom_site_fract_y
_atom_site_fract_z
Rb1 Rb 0.0000 0.0000 0.0000
Si1 Si 0.0000 0.5000 0.2500
Ge1 Ge 0.0000 0.0000 0.3521



# 8
# RbSn2Ge2, relaxed, DFT PBEsol
# crystal system: tetragonal
data_RbSn2Ge2
_cell_length_a 5.1105
_cell_length_b 5.1105
_cell_length_c 10.5853
_cell_angle_alpha 90.00
_cell_angle_beta 90.00
_cell_angle_gamma 90.00
_space_group_name_H-M_alt 'I 4/m m m'
_space_group_IT_number 139
_space_group_name_Hall '-I 4 2'
loop_
_atom_site_label
_atom_site_type_symbol
_atom_site_fract_x
_atom_site_fract_y
_atom_site_fract_z
Rb1 Rb 0.0000 0.0000 0.0000
Sn1 Sn 0.0000 0.0000 0.3614
Ge1 Ge 0.0000 0.5000 0.2500



# 9
# RbSr3Ge, relaxed, DFT PBEsol
# crystal system: cubic
data_RbSr3Ge
_cell_length_a 6.2548
_cell_length_b 6.2548
_cell_length_c 6.2548
_cell_angle_alpha 90.00
_cell_angle_beta 90.00
_cell_angle_gamma 90.00
_space_group_name_H-M_alt 'P m -3 m'
_space_group_IT_number 221
_space_group_name_Hall '-P 4 2 3'
loop_
_atom_site_label
_atom_site_type_symbol
_atom_site_fract_x
_atom_site_fract_y
_atom_site_fract_z
Rb1 Rb 0.0000 0.0000 0.0000
Sr1 Sr 0.0000 0.5000 0.5000
Ge1 Ge 0.5000 0.5000 0.5000



# 10
# RbSrGe3, relaxed, DFT PBEsol
# crystal system: cubic
data_RbSrGe3
_cell_length_a 5.5190
_cell_length_b 5.5190
_cell_length_c 5.5190
_cell_angle_alpha 90.00
_cell_angle_beta 90.00
_cell_angle_gamma 90.00
_space_group_name_H-M_alt 'P m -3 m'
_space_group_IT_number 221
_space_group_name_Hall '-P 4 2 3'
loop_
_atom_site_label
_atom_site_type_symbol
_atom_site_fract_x
_atom_site_fract_y
_atom_site_fract_z
Rb1 Rb 0.0000 0.0000 0.0000
Sr1 Sr 0.5000 0.5000 0.5000
Ge1 Ge 0.0000 0.0000 0.5000



# 11
# RbTaTcGe2, relaxed, DFT PBEsol
# crystal system: tetragonal
data_RbTaTcGe2
_cell_length_a 5.0282
_cell_length_b 5.0282
_cell_length_c 4.8893
_cell_angle_alpha 90.00
_cell_angle_beta 90.00
_cell_angle_gamma 90.00
_space_group_name_H-M_alt 'P 4/m m m'
_space_group_IT_number 123
_space_group_name_Hall '-P 4 2'
loop_
_atom_site_label
_atom_site_type_symbol
_atom_site_fract_x
_atom_site_fract_y
_atom_site_fract_z
Rb1 Rb 0.0000 0.0000 0.0000
Ta1 Ta 0.0000 0.0000 0.5000
Tc1 Tc 0.5000 0.5000 0.5000
Ge1 Ge 0.0000 0.5000 0.0000



# 12
# Rb3GeTe, relaxed, DFT PBEsol
# ΔE_f (raw): 0.06 eV/atom
# crystal system: cubic
data_Rb3GeTe
_cell_length_a 6.4403
_cell_length_b 6.4403
_cell_length_c 6.4403
_cell_angle_alpha 90.00
_cell_angle_beta 90.00
_cell_angle_gamma 90.00
_space_group_name_H-M_alt 'P m -3 m'
_space_group_IT_number 221
_space_group_name_Hall '-P 4 2 3'
loop_
_atom_site_label
_atom_site_type_symbol
_atom_site_fract_x
_atom_site_fract_y
_atom_site_fract_z
Rb1 Rb 0.0000 0.0000 0.5000
Ge1 Ge 0.0000 0.0000 0.0000
Te1 Te 0.5000 0.5000 0.5000



# 13
# RbTiGe3, relaxed, DFT PBEsol
# crystal system: cubic
data_RbTiGe3
_cell_length_a 4.9537
_cell_length_b 4.9537
_cell_length_c 4.9537
_cell_angle_alpha 90.00
_cell_angle_beta 90.00
_cell_angle_gamma 90.00
_space_group_name_H-M_alt 'P m -3 m'
_space_group_IT_number 221
_space_group_name_Hall '-P 4 2 3'
loop_
_atom_site_label
_atom_site_type_symbol
_atom_site_fract_x
_atom_site_fract_y
_atom_site_fract_z
Rb1 Rb 0.0000 0.0000 0.0000
Ti1 Ti 0.5000 0.5000 0.5000
Ge1 Ge 0.0000 0.5000 0.5000



# 14
# RbTlGe3, relaxed, DFT PBEsol
# crystal system: cubic
data_RbTlGe3
_cell_length_a 5.4540
_cell_length_b 5.4540
_cell_length_c 5.4540
_cell_angle_alpha 90.00
_cell_angle_beta 90.00
_cell_angle_gamma 90.00
_space_group_name_H-M_alt 'P m -3 m'
_space_group_IT_number 221
_space_group_name_Hall '-P 4 2 3'
loop_
_atom_site_label
_atom_site_type_symbol
_atom_site_fract_x
_atom_site_fract_y
_atom_site_fract_z
Rb1 Rb 0.0000 0.0000 0.0000
Tl1 Tl 0.5000 0.5000 0.5000
Ge1 Ge 0.0000 0.5000 0.5000



# 15
# RbTl2Ge2, relaxed, DFT PBEsol
# crystal system: tetragonal
data_RbTl2Ge2
_cell_length_a 5.1449
_cell_length_b 5.1449
_cell_length_c 10.5578
_cell_angle_alpha 90.00
_cell_angle_beta 90.00
_cell_angle_gamma 90.00
_space_group_name_H-M_alt 'I 4/m m m'
_space_group_IT_number 139
_space_group_name_Hall '-I 4 2'
loop_
_atom_site_label
_atom_site_type_symbol
_atom_site_fract_x
_atom_site_fract_y
_atom_site_fract_z
Rb1 Rb 0.0000 0.0000 0.0000
Tl1 Tl 0.0000 0.5000 0.2500
Ge1 Ge 0.0000 0.0000 0.3816



# 16
# RbZr3Ge, relaxed, DFT PBEsol
# crystal system: cubic
data_RbZr3Ge
_cell_length_a 4.9063
_cell_length_b 4.9063
_cell_length_c 4.9063
_cell_angle_alpha 90.00
_cell_angle_beta 90.00
_cell_angle_gamma 90.00
_space_group_name_H-M_alt 'P m -3 m'
_space_group_IT_number 221
_space_group_name_Hall '-P 4 2 3'
loop_
_atom_site_label
_atom_site_type_symbol
_atom_site_fract_x
_atom_site_fract_y
_atom_site_fract_z
Rb1 Rb 0.0000 0.0000 0.0000
Zr1 Zr 0.0000 0.0000 0.5000
Ge1 Ge 0.5000 0.5000 0.5000



# 17
# Re3Ge, relaxed, DFT PBEsol
# crystal system: tetragonal
data_Re3Ge
_cell_length_a 3.7968
_cell_length_b 3.7968
_cell_length_c 8.0552
_cell_angle_alpha 90.00
_cell_angle_beta 90.00
_cell_angle_gamma 90.00
_space_group_name_H-M_alt 'I 4/m m m'
_space_group_IT_number 139
_space_group_name_Hall '-I 4 2'
loop_
_atom_site_label
_atom_site_type_symbol
_atom_site_fract_x
_atom_site_fract_y
_atom_site_fract_z
Re1 Re 0.0000 0.0000 0.0000
Re2 Re 0.0000 0.5000 0.2500
Ge1 Ge 0.0000 0.0000 0.5000



# 18
# Re3Ge7, relaxed, DFT PBEsol
# crystal system: orthorhombic
data_Re3Ge7
_cell_length_a 3.2198
_cell_length_b 9.0339
_cell_length_c 21.8540
_cell_angle_alpha 90.00
_cell_angle_beta 90.00
_cell_angle_gamma 90.00
_space_group_name_H-M_alt 'C m c m'
_space_group_IT_number 63
_space_group_name_Hall '-C 2c 2'
loop_
_atom_site_label
_atom_site_type_symbol
_atom_site_fract_x
_atom_site_fract_y
_atom_site_fract_z
Re1 Re 0.0000 0.0197 0.2500
Re2 Re 0.0000 0.4265 0.5592
Ge1 Ge 0.0000 0.1462 0.5325
Ge2 Ge 0.0000 0.1761 0.1368
Ge3 Ge 0.0000 0.2625 0.7500
Ge4 Ge 0.0000 0.4404 0.1621



# 19
# ReGe2Rh, relaxed, DFT PBEsol
# crystal system: cubic
data_ReGe2Rh
_cell_length_a 6.0680
_cell_length_b 6.0680
_cell_length_c 6.0680
_cell_angle_alpha 90.00
_cell_angle_beta 90.00
_cell_angle_gamma 90.00
_space_group_name_H-M_alt 'F m -3 m'
_space_group_IT_number 225
_space_group_name_Hall '-F 4 2 3'
loop_
_atom_site_label
_atom_site_type_symbol
_atom_site_fract_x
_atom_site_fract_y
_atom_site_fract_z
Re1 Re 0.0000 0.0000 0.0000
Ge1 Ge 0.2500 0.2500 0.2500
Rh1 Rh 0.0000 0.0000 0.5000



# 20
# ReGe3Ru, relaxed, DFT PBEsol
# crystal system: cubic
data_ReGe3Ru
_cell_length_a 4.6484
_cell_length_b 4.6484
_cell_length_c 4.6484
_cell_angle_alpha 90.00
_cell_angle_beta 90.00
_cell_angle_gamma 90.00
_space_group_name_H-M_alt 'P m -3 m'
_space_group_IT_number 221
_space_group_name_Hall '-P 4 2 3'
loop_
_atom_site_label
_atom_site_type_symbol
_atom_site_fract_x
_atom_site_fract_y
_atom_site_fract_z
Re1 Re 0.0000 0.0000 0.0000
Ge1 Ge 0.0000 0.5000 0.5000
Ru1 Ru 0.5000 0.5000 0.5000



# 21
# Sr2ReGeS, relaxed, DFT PBEsol
# ΔE_f (raw): -0.07 eV/atom
# crystal system: tetragonal
data_Sr2ReGeS
_cell_length_a 5.5739
_cell_length_b 5.5739
_cell_length_c 4.3133
_cell_angle_alpha 90.00
_cell_angle_beta 90.00
_cell_angle_gamma 90.00
_space_group_name_H-M_alt 'P 4/m m m'
_space_group_IT_number 123
_space_group_name_Hall '-P 4 2'
loop_
_atom_site_label
_atom_site_type_symbol
_atom_site_fract_x
_atom_site_fract_y
_atom_site_fract_z
Sr1 Sr 0.0000 0.5000 0.0000
Re1 Re 0.0000 0.0000 0.5000
Ge1 Ge 0.5000 0.5000 0.5000
S1 S 0.0000 0.0000 0.0000



# 22
# ReTcGe2Sb, relaxed, DFT PBEsol
# ΔE_f (raw): 1.34 eV/atom
# crystal system: tetragonal
data_ReTcGe2Sb
_cell_length_a 4.6314
_cell_length_b 4.6314
_cell_length_c 5.1738
_cell_angle_alpha 90.00
_cell_angle_beta 90.00
_cell_angle_gamma 90.00
_space_group_name_H-M_alt 'P 4/m m m'
_space_group_IT_number 123
_space_group_name_Hall '-P 4 2'
loop_
_atom_site_label
_atom_site_type_symbol
_atom_site_fract_x
_atom_site_fract_y
_atom_site_fract_z
Re1 Re 0.0000 0.0000 0.0000
Tc1 Tc 0.5000 0.5000 0.5000
Ge1 Ge 0.0000 0.5000 0.5000
Sb1 Sb 0.5000 0.5000 0.0000



# 23
# ReGeWSe2, relaxed, DFT PBEsol
# ΔE_f (raw): 2.02 eV/atom
# crystal system: tetragonal
data_ReGeWSe2
_cell_length_a 4.7246
_cell_length_b 4.7246
_cell_length_c 4.6028
_cell_angle_alpha 90.00
_cell_angle_beta 90.00
_cell_angle_gamma 90.00
_space_group_name_H-M_alt 'P 4/m m m'
_space_group_IT_number 123
_space_group_name_Hall '-P 4 2'
loop_
_atom_site_label
_atom_site_type_symbol
_atom_site_fract_x
_atom_site_fract_y
_atom_site_fract_z
Re1 Re 0.0000 0.0000 0.0000
Ge1 Ge 0.0000 0.0000 0.5000
W1 W 0.5000 0.5000 0.0000
Se1 Se 0.0000 0.5000 0.5000



# 24
# ReSi2Ge, relaxed, DFT PBEsol
# ΔE_f (raw): 0.71 eV/atom
# crystal system: tetragonal
data_ReSi2Ge
_cell_length_a 5.6268
_cell_length_b 5.6268
_cell_length_c 10.6014
_cell_angle_alpha 90.00
_cell_angle_beta 90.00
_cell_angle_gamma 90.00
_space_group_name_H-M_alt 'I -4 2 d'
_space_group_IT_number 122
_space_group_name_Hall 'I -4 2bw'
loop_
_atom_site_label
_atom_site_type_symbol
_atom_site_fract_x
_atom_site_fract_y
_atom_site_fract_z
Re1 Re 0.0000 0.0000 0.0000
Si1 Si 0.2353 0.2500 0.1250
Ge1 Ge 0.0000 0.0000 0.5000



# 25
# TaRe3Ge, relaxed, DFT PBEsol
# crystal system: cubic
data_TaRe3Ge
_cell_length_a 4.7466
_cell_length_b 4.7466
_cell_length_c 4.7466
_cell_angle_alpha 90.00
_cell_angle_beta 90.00
_cell_angle_gamma 90.00
_space_group_name_H-M_alt 'P m -3 m'
_space_group_IT_number 221
_space_group_name_Hall '-P 4 2 3'
loop_
_atom_site_label
_atom_site_type_symbol
_atom_site_fract_x
_atom_site_fract_y
_atom_site_fract_z
Ta1 Ta 0.0000 0.0000 0.0000
Re1 Re 0.0000 0.0000 0.5000
Ge1 Ge 0.5000 0.5000 0.5000



# 26
# TlRe3Ge, relaxed, DFT PBEsol
# crystal system: cubic
data_TlRe3Ge
_cell_length_a 4.8911
_cell_length_b 4.8911
_cell_length_c 4.8911
_cell_angle_alpha 90.00
_cell_angle_beta 90.00
_cell_angle_gamma 90.00
_space_group_name_H-M_alt 'P m -3 m'
_space_group_IT_number 221
_space_group_name_Hall '-P 4 2 3'
loop_
_atom_site_label
_atom_site_type_symbol
_atom_site_fract_x
_atom_site_fract_y
_atom_site_fract_z
Tl1 Tl 0.0000 0.0000 0.0000
Re1 Re 0.0000 0.0000 0.5000
Ge1 Ge 0.5000 0.5000 0.5000



# 27
# TlRe2Ge, relaxed, DFT PBEsol
# crystal system: cubic
data_TlRe2Ge
_cell_length_a 6.3450
_cell_length_b 6.3450
_cell_length_c 6.3450
_cell_angle_alpha 90.00
_cell_angle_beta 90.00
_cell_angle_gamma 90.00
_space_group_name_H-M_alt 'F m -3 m'
_space_group_IT_number 225
_space_group_name_Hall '-F 4 2 3'
loop_
_atom_site_label
_atom_site_type_symbol
_atom_site_fract_x
_atom_site_fract_y
_atom_site_fract_z
Tl1 Tl 0.0000 0.0000 0.0000
Re1 Re 0.2500 0.2500 0.2500
Ge1 Ge 0.0000 0.0000 0.5000



| no. | spin magnetization (μB/f.u.) | energy (eV/atom) |
| --- | --- | --- |
| 1 | 1.35 | -1.968 |
| 2 | 3.45 | -2.321 |
| 3 | 0.00 | -4.061 |
| 4 | 3.54 | -2.137 |
| 5 | 0.00 | -3.473 |
| 6 | 0.00 | -4.911 |
| 7 | 0.00 | -4.439 |
| 8 | 0.00 | -3.949 |
| 9 | 0.00 | -2.472 |
| 10 | 0.00 | -2.498 |
| 11 | 2.25 | -3.815 |
| 12 | 2.97 | -2.251 |
| 13 | 0.00 | -4.872 |
| 14 | 0.00 | -3.028 |
| 15 | 0.00 | -3.248 |
| 16 | 1.33 | -4.699 |
| 17 | 0.00 | -10.870 |
| 18 | 0.00 | -7.531 |
| 19 | 0.00 | -7.962 |
| 20 | 3.25 | -6.404 |
| 21 | 0.00 | -5.335 |
| 22 | 3.42 | -6.462 |
| 23 | 2.47 | -5.935 |
| 24 | 0.00 | -6.729 |
| 25 | 2.49 | -8.967 |
| 26 | 3.44 | -6.038 |
| 27 | 0.00 | -7.648 |